Record 1
CoPt2Rh2, relaxed, DFT PBE-GGA; SG = P4/mbm (127); formation enthalpy at 0 K = 0.340 eV per atom
1.0
6.480 0.000 0.000
0.000 6.480 0.000
0.000 0.000 3.726
Co Pt Rh
2 4 4
Cartesian
0.000 0.000 0.000
3.240 3.240 0.000
0.939 2.301 0.000
2.301 5.541 0.000
4.179 0.939 0.000
5.541 4.179 0.000
1.000 4.240 1.863
2.241 1.000 1.863
4.240 5.481 1.863
5.481 2.241 1.863

***

Record 2
Ce5Tc2Ge, relaxed, DFT PBE-GGA; SG = Cmcm (63); formation enthalpy at 0 K = 0.022 eV per atom
1.0
2.812 -6.270 0.000
2.812 6.270 0.000
0.000 0.000 13.846
Ce Tc Ge
10 4 2
Cartesian
2.812 5.762 8.587
2.812 5.762 12.181
2.812 3.426 3.461
2.812 2.011 7.749
2.812 2.011 13.019
2.812 -2.011 0.826
2.812 -2.011 6.096
2.812 -3.426 10.384
2.812 -5.762 1.665
2.812 -5.762 5.258
2.812 4.483 0.975
2.812 4.483 5.947
2.812 -4.483 7.898
2.812 -4.483 12.870
2.812 3.467 10.384
2.812 -3.467 3.461

***

Record 3
K3Ce3CrS8, relaxed, DFT PBE-GGA; DFT total energy = -5.802 eV per atom; SG = R-3m (166)
1.0
4.033 2.329 7.466
-4.033 2.329 7.466
0.000 -4.657 7.466
K Ce Cr S
3 3 1 8
Cartesian
-2.017 -1.164 7.466
-2.017 1.164 14.933
0.000 2.329 7.466
-4.033 0.000 11.200
-2.017 1.164 3.733
2.017 1.164 3.733
0.000 0.000 11.200
0.000 0.000 5.287
-1.832 -1.058 12.585
0.000 -2.116 9.815
-1.832 1.058 9.815
1.832 -1.058 12.585
0.000 2.116 12.585
1.832 1.058 9.815
0.000 0.000 17.112

***

Record 4
CaTe2BrN, relaxed, DFT PBE-GGA; DFT total energy = -2.838 eV per atom; SG = P4/mmm (123)
1.0
5.942 0.000 0.000
0.000 5.942 0.000
0.000 0.000 4.378
Ca Te Br N
1 2 1 1
Cartesian
0.000 0.000 0.000
0.000 2.971 0.000
2.971 0.000 0.000
2.971 2.971 2.189
0.000 0.000 2.189

***

Record 5
NbIn3I, relaxed, DFT PBE-GGA; DFT total energy = -3.478 eV per atom; SG = Pm-3m (221)
1.0
5.631 0.000 0.000
0.000 5.631 0.000
0.000 0.000 5.631
Nb In I
1 3 1
Cartesian
0.000 0.000 0.000
0.000 0.000 2.816
0.000 2.816 0.000
2.816 0.000 0.000
2.816 2.816 2.816

***

Record 6
SrErTm4S8, relaxed, DFT PBE-GGA; DFT total energy = -6.062 eV per atom; SG = R3m (160)
1.0
4.031 2.328 6.597
-4.031 2.328 6.597
0.000 -4.655 6.597
Sr Er Tm S
1 1 4 8
Cartesian
0.000 0.000 0.000
0.000 0.000 7.374
0.000 -2.362 10.725
-2.046 1.181 10.725
0.000 0.000 14.835
2.046 1.181 10.725
0.000 -2.058 5.658
-1.782 1.029 5.658
0.000 0.000 2.763
-1.899 -1.096 9.119
1.782 1.029 5.658
0.000 0.000 12.213
1.899 -1.096 9.119
0.000 2.193 9.119